DFT (PBEsol) results for a geometry-optimized GaTeCl2 structure.

Results
SG = Fd-3m, No. 227
Volume = 39.055 A^3/atom
E_tot = -2.715 eV/atom
D(E_F) = 3.96 states/eV/f.u.

Structure (POSCAR):
```
GaTeCl2
1.0
7.6166 0.0000 0.0000
3.8083 6.5962 0.0000
3.8083 2.1987 6.2189
Te Ga Cl
2 2 4
Cartesian
11.4249 6.5962 4.6642
7.6166 4.3974 3.1095
3.8083 2.1987 1.5547
0.0000 0.0000 0.0000
5.7124 1.0994 0.7774
3.8083 4.3974 0.7774
1.9041 1.0994 0.7774
3.8083 2.1987 3.8868
```